This record from the Alexandria database describes a relaxed CrCu2Os crystal. The functional is PBE.

The structure belongs to space group C2/m (No. 12); the cell edges are 8.902, 2.600 and 4.444 Å and the angles 90.00°, 99.73° and 90.00°. The asymmetric unit holds Cr at (0.000, 0.000, 0.000), Cu at (0.250, 0.000, 0.754) and Os at (0.000, 0.500, 0.500).

As for the total DFT energy (no corrections): -6.963 eV per atom. The total moment is 0.724 Bohr magnetons per cell. Its formation energy is 0.30 eV/atom. As for the crystal system: monoclinic.